1.
# SrZn5As4

Crystalline SrZn5As4 at its relaxed geometry (PBE, Alexandria).

Output
Theoretical density in g cm⁻³: 5.4
ΔH_f (0 K) in eV/atom: -0.246
E in eV per cell: -29.11
DOS(E_F) in states/eV/f.u.: 1.2

a = 8.2379 Å, b = 8.2379 Å, c = 8.2379 Å
α = 150.88°, β = 125.24°, γ = 63.22°
Fractional coordinates of all 10 atoms:
1 Sr 0.0000 0.0000 0.0000
2 Zn 0.0236 0.3271 0.6964
3 Zn 0.3693 0.6729 0.6964
4 Zn 0.5000 0.0000 0.5000
5 Zn 0.6307 0.3271 0.3036
6 Zn 0.9764 0.6729 0.3036
7 As 0.2336 0.2336 0.0000
8 As 0.2932 0.5000 0.7932
9 As 0.7068 0.5000 0.2068
10 As 0.7664 0.7664 0.0000

***

2.
# Li2ReSi

Crystalline Li2ReSi at its relaxed geometry (PBE, Alexandria).

Output
Theoretical density in g cm⁻³: 7.5
E in eV per cell: -21.55
Formation energy without anion corrections in meV per atom: 37
DOS(E_F) in states/eV/f.u.: 1.8

a = 4.1566 Å, b = 4.1566 Å, c = 4.1566 Å
α = 60.00°, β = 60.00°, γ = 60.00°
Fractional coordinates of all 4 atoms:
1 Li 0.0000 0.0000 0.0000
2 Li 0.2500 0.2500 0.2500
3 Re 0.5000 0.5000 0.5000
4 Si 0.7500 0.7500 0.7500

***

3.
# NiAgBr2

Crystalline NiAgBr2 at its relaxed geometry (PBE, Alexandria).

Output
Theoretical density in g cm⁻³: 4.9
Relative energy among the computed polymorphs in eV/f.u.: 0.044
E in eV per cell: -12.41
Formation energy without anion corrections in meV per atom: -109
DOS(E_F) in states/eV/f.u.: 4.4

a = 4.5839 Å, b = 4.5839 Å, c = 7.1156 Å
α = 100.41°, β = 100.41°, γ = 48.44°
Fractional coordinates of all 4 atoms:
1 Ni 0.0000 0.0000 0.0000
2 Ag 0.2706 0.2706 0.8516
3 Br 0.5679 0.5679 0.1978
4 Br 0.9465 0.9465 0.6632

***

4.
# ZrCI2N

Crystalline ZrCI2N at its relaxed geometry (PBE, Alexandria).

Output
Theoretical density in g cm⁻³: 5.9
Relative energy among the computed polymorphs in eV/f.u.: 0.625
E in eV per cell: -22.58
Formation energy without anion corrections in meV per atom: 1324
DOS(E_F) in states/eV/f.u.: 2.7

a = 5.8933 Å, b = 5.8933 Å, c = 2.9960 Å
α = 90.00°, β = 90.00°, γ = 90.00°
Fractional coordinates of all 5 atoms:
1 Zr 0.0000 0.0000 0.0000
2 C 0.5000 0.5000 0.5000
3 I 0.0000 0.5000 0.5000
4 I 0.5000 0.0000 0.5000
5 N 0.5000 0.5000 0.0000

***

5.
# AgSbC2N2Cl2F6

Crystalline AgSbC2N2Cl2F6 at its relaxed geometry (PBE, Alexandria).

Output
Theoretical density in g cm⁻³: 2.7
E in eV per cell: -144.38
Formation energy without anion corrections in meV per atom: -1085
DOS(E_F) in states/eV/f.u.: 0.0

a = 7.7540 Å, b = 9.3859 Å, c = 9.3124 Å
α = 90.00°, β = 122.28°, γ = 90.00°
Fractional coordinates of all 28 atoms:
1 Ag 0.0000 0.0000 0.0000
2 Ag 0.0000 0.5000 0.5000
3 Sb 0.0000 0.0000 0.5000
4 Sb 0.0000 0.5000 0.0000
5 C 0.3913 0.1671 0.0469
6 C 0.3913 0.3329 0.5469
7 C 0.6087 0.6671 0.4531
8 C 0.6087 0.8329 0.9531
9 N 0.2633 0.1013 0.0460
10 N 0.2633 0.3987 0.5460
11 N 0.7367 0.6013 0.4540
12 N 0.7367 0.8987 0.9540
13 Cl 0.4315 0.7455 0.9528
14 Cl 0.4315 0.7545 0.4528
15 Cl 0.5685 0.2455 0.5472
16 Cl 0.5685 0.2545 0.0472
17 F 0.0840 0.0509 0.3460
18 F 0.0840 0.4491 0.8460
19 F 0.1151 0.6871 0.0232
20 F 0.1151 0.8129 0.5232
21 F 0.2587 0.0643 0.6869
22 F 0.2587 0.4357 0.1869
23 F 0.7413 0.5643 0.8131
24 F 0.7413 0.9357 0.3131
25 F 0.8849 0.1871 0.4768
26 F 0.8849 0.3129 0.9768
27 F 0.9160 0.5509 0.1540
28 F 0.9160 0.9491 0.6540

***

6.
# Ta6Nb12Os

Crystalline Ta6Nb12Os at its relaxed geometry (PBE, Alexandria).

Output
Theoretical density in g cm⁻³: 11.1
ΔH_f (0 K) in eV/atom: 0.088
E in eV per cell: -201.50
DOS(E_F) in states/eV/f.u.: 16.9

a = 7.0985 Å, b = 7.0985 Å, c = 7.0985 Å
α = 88.77°, β = 88.77°, γ = 88.77°
Fractional coordinates of all 19 atoms:
1 Ta 0.2334 0.3864 0.7577
2 Ta 0.2423 0.7666 0.6136
3 Ta 0.3864 0.7577 0.2334
4 Ta 0.6136 0.2423 0.7666
5 Ta 0.7577 0.2334 0.3864
6 Ta 0.7666 0.6136 0.2423
7 Nb 0.0201 0.9213 0.3119
8 Nb 0.0787 0.6881 0.9799
9 Nb 0.1202 0.4391 0.3546
10 Nb 0.3119 0.0201 0.9213
11 Nb 0.3546 0.1202 0.4391
12 Nb 0.4391 0.3546 0.1202
13 Nb 0.5609 0.6454 0.8798
14 Nb 0.6454 0.8798 0.5609
15 Nb 0.6881 0.9799 0.0787
16 Nb 0.8798 0.5609 0.6454
17 Nb 0.9213 0.3119 0.0201
18 Nb 0.9799 0.0787 0.6881
19 Os 0.5000 0.5000 0.5000

***

7.
# Rh2SeCl

Crystalline Rh2SeCl at its relaxed geometry (PBE, Alexandria).

Output
Theoretical density in g cm⁻³: 7.5
Relative energy among the computed polymorphs in eV/f.u.: 0.264
E in eV per cell: -20.01
Formation energy without anion corrections in meV per atom: 6
DOS(E_F) in states/eV/f.u.: 3.0

a = 3.8629 Å, b = 3.8629 Å, c = 6.2078 Å
α = 105.10°, β = 105.10°, γ = 53.67°
Fractional coordinates of all 4 atoms:
1 Rh 0.2380 0.2380 0.1948
2 Rh 0.7620 0.7620 0.8052
3 Se 0.5000 0.5000 0.0000
4 Cl 0.0000 0.0000 0.5000

***

8.
# CaTa3

Crystalline CaTa3 at its relaxed geometry (PBE, Alexandria).

Output
Theoretical density in g cm⁻³: 11.6
ΔH_f (0 K) in eV/atom: 0.586
E in eV per cell: -35.21
DOS(E_F) in states/eV/f.u.: 6.8

a = 10.7317 Å, b = 10.7317 Å, c = 10.7317 Å
α = 16.14°, β = 16.14°, γ = 16.14°
Fractional coordinates of all 4 atoms:
1 Ca 0.0000 0.0000 0.0000
2 Ta 0.2438 0.2438 0.2438
3 Ta 0.5000 0.5000 0.5000
4 Ta 0.7562 0.7562 0.7562